No. 1
## SrYAl (GGA-PBE)

Data for a relaxed SrYAl crystal.

Unit cell a=6.444 b=4.303 c=7.496 alpha=90.00 beta=92.96 gamma=90.00
Sites, in units of the cell vectors:
Sr1 0.106 0.250 0.272
Sr2 0.894 0.750 0.728
Y1 0.394 0.250 0.828
Y2 0.606 0.750 0.172
Al1 0.393 0.750 0.547
Al2 0.607 0.250 0.453

## Properties
Fermi-level density of states: 6.65 states/eV per cell
ΔH_f (0 K): -33 meV/atom
space group: P2_1/m (11)
offset from the most stable computed form: 0.178 eV per atom


No. 2
## La8Pr5Tl (GGA-PBE)

Data for a relaxed La8Pr5Tl crystal.

Unit cell a=8.714 b=8.730 c=9.034 alpha=116.62 beta=118.23 gamma=91.40
Sites, in units of the cell vectors:
La1 0.000 0.000 0.000
La2 0.039 0.464 0.206
La3 0.284 0.289 0.938
La4 0.370 0.795 0.191
La5 0.417 0.282 0.412
La6 0.583 0.580 0.923
La7 0.669 0.107 0.175
La8 0.913 0.540 0.782
Pr1 0.058 0.914 0.382
Pr2 0.206 0.784 0.749
Pr3 0.509 0.812 0.639
Pr4 0.731 0.621 0.393
Pr5 0.785 0.107 0.631
Tl1 0.106 0.340 0.538

## Properties
Fermi-level density of states: 20.60 states/eV per cell
ΔH_f (0 K): 35 meV/atom
space group: P1 (1)


No. 3
## HfMg2ClF (GGA-PBE)

Data for a relaxed HfMg2ClF crystal.

Unit cell a=4.694 b=4.694 c=5.250 alpha=90.00 beta=90.00 gamma=90.00
Sites, in units of the cell vectors:
Hf1 0.000 0.000 0.000
Mg1 0.000 0.500 0.500
Mg2 0.500 0.000 0.500
Cl1 0.500 0.500 0.500
F1 0.500 0.500 0.000

## Properties
raw formation energy: 0.049 eV per atom
Fermi-level density of states: 5.87 states/eV per cell
space group: P4/mmm (123)
offset from the most stable computed form: 0.457 eV per atom


No. 4
## K2Ge2Te (GGA-PBE)

Data for a relaxed K2Ge2Te crystal.

Unit cell a=7.837 b=7.837 c=5.247 alpha=90.00 beta=90.00 gamma=90.00
Sites, in units of the cell vectors:
K1 0.196 0.304 0.000
K2 0.304 0.804 0.000
K3 0.696 0.196 0.000
K4 0.804 0.696 0.000
Ge1 0.108 0.608 0.500
Ge2 0.392 0.108 0.500
Ge3 0.608 0.892 0.500
Ge4 0.892 0.392 0.500
Te1 0.000 0.000 0.500
Te2 0.500 0.500 0.500

## Properties
raw formation energy: -0.192 eV per atom
Fermi-level density of states: 3.82 states/eV per cell
space group: P4/mbm (127)


No. 5
## Y5Hg2O2 (GGA-PBE)

Data for a relaxed Y5Hg2O2 crystal.

Unit cell a=10.174 b=10.174 c=10.174 alpha=56.91 beta=140.40 gamma=140.84
Sites, in units of the cell vectors:
Y1 0.250 0.019 0.269
Y2 0.250 0.249 0.501
Y3 0.250 0.481 0.731
Y4 0.665 0.113 0.277
Y5 0.665 0.888 0.052
Y6 0.748 0.749 0.499
Y7 0.750 0.519 0.269
Y8 0.750 0.981 0.731
Y9 0.836 0.388 0.723
Y10 0.836 0.613 0.948
Hg1 0.235 0.122 0.858
Hg2 0.235 0.877 0.613
Hg3 0.264 0.377 0.142
Hg4 0.264 0.622 0.387
O1 0.717 0.500 0.717
O2 0.750 0.250 0.500
O3 0.750 0.750 0.000
O4 0.783 0.000 0.283

## Properties
raw formation energy: -1.508 eV per atom
Fermi-level density of states: 8.05 states/eV per cell
space group: Ima2 (46)


No. 6
## SrZr2Ni (GGA-PBE)

Data for a relaxed SrZr2Ni crystal.

Unit cell a=6.413 b=6.413 c=3.173 alpha=102.69 beta=102.69 gamma=125.53
Sites, in units of the cell vectors:
Sr1 0.000 0.000 0.000
Zr1 0.000 0.500 0.500
Zr2 0.500 0.000 0.500
Ni1 0.500 0.500 0.000

## Properties
Fermi-level density of states: 5.84 states/eV per cell
ΔH_f (0 K): 524 meV/atom
space group: C2/m (12)
offset from the most stable computed form: 0.505 eV per atom


No. 7
## BeInRe2 (GGA-PBE)

Data for a relaxed BeInRe2 crystal.

Unit cell a=4.443 b=4.443 c=4.443 alpha=122.11 beta=122.11 gamma=86.39
Sites, in units of the cell vectors:
Be1 0.000 0.000 0.000
In1 0.250 0.750 0.500
Re1 0.500 0.500 0.000
Re2 0.750 0.250 0.500

## Properties
Fermi-level density of states: 2.04 states/eV per cell
ΔH_f (0 K): 445 meV/atom
space group: I-4m2 (119)
offset from the most stable computed form: 0.357 eV per atom


No. 8
## V3SnH (GGA-PBE)

Data for a relaxed V3SnH crystal.

Unit cell a=5.145 b=5.145 c=6.595 alpha=108.76 beta=108.76 gamma=50.86
Sites, in units of the cell vectors:
V1 0.009 0.009 0.253
V2 0.233 0.231 0.125
V3 0.239 0.229 0.610
V4 0.769 0.767 0.875
V5 0.771 0.761 0.390
V6 0.991 0.991 0.747
Sn1 0.495 0.505 0.500
Sn2 0.497 0.503 0.000
H1 0.072 0.306 0.844
H2 0.694 0.928 0.156

## Properties
Fermi-level density of states: 5.32 states/eV per cell
DFT total energy: -70.55 eV/cell
space group: C2 (5)


No. 9
## CsPaGa (GGA-PBE)

Data for a relaxed CsPaGa crystal.

Unit cell a=7.801 b=7.801 c=8.903 alpha=105.85 beta=105.85 gamma=28.83
Sites, in units of the cell vectors:
Cs1 0.096 0.096 0.347
Cs2 0.904 0.904 0.653
Pa1 0.214 0.214 0.900
Pa2 0.786 0.786 0.100
Ga1 0.420 0.420 0.026
Ga2 0.580 0.580 0.974

## Properties
Fermi-level density of states: 8.92 states/eV per cell
ΔH_f (0 K): 421 meV/atom
space group: C2/m (12)


No. 10
## Ac3PmSm (GGA-PBE)

Data for a relaxed Ac3PmSm crystal.

Unit cell a=10.178 b=10.178 c=10.813 alpha=104.79 beta=104.79 gamma=21.97
Sites, in units of the cell vectors:
Ac1 0.002 0.002 0.236
Ac2 0.201 0.201 0.849
Ac3 0.398 0.398 0.454
Ac4 0.602 0.602 0.546
Ac5 0.799 0.799 0.151
Ac6 0.998 0.998 0.764
Pm1 0.200 0.200 0.349
Pm2 0.800 0.800 0.651
Sm1 0.396 0.396 0.946
Sm2 0.604 0.604 0.054

## Properties
Fermi-level density of states: 17.37 states/eV per cell
ΔH_f (0 K): 40 meV/atom
space group: C2/m (12)


No. 11
## ErTlAgF6 (GGA-PBE)

Data for a relaxed ErTlAgF6 crystal.

Unit cell a=6.201 b=6.201 c=9.422 alpha=90.00 beta=90.00 gamma=120.00
Sites, in units of the cell vectors:
Er1 0.333 0.667 0.250
Er2 0.667 0.333 0.750
Tl1 0.333 0.667 0.750
Tl2 0.667 0.333 0.250
Ag1 0.000 0.000 0.000
Ag2 0.000 0.000 0.500
F1 0.035 0.365 0.129
F2 0.035 0.670 0.371
F3 0.330 0.365 0.371
F4 0.330 0.965 0.129
F5 0.365 0.035 0.629
F6 0.365 0.330 0.871
F7 0.635 0.670 0.129
F8 0.635 0.965 0.371
F9 0.670 0.035 0.871
F10 0.670 0.635 0.629
F11 0.965 0.330 0.629
F12 0.965 0.635 0.871

## Properties
raw formation energy: -2.551 eV per atom
Fermi-level density of states: 7.36 states/eV per cell
space group: P-31c (163)


No. 12
## TlCuW (GGA-PBE)

Data for a relaxed TlCuW crystal.

Unit cell a=2.954 b=2.954 c=7.036 alpha=90.00 beta=90.00 gamma=120.00
Sites, in units of the cell vectors:
Tl1 0.000 0.000 0.000
Cu1 0.667 0.333 0.658
W1 0.333 0.667 0.364

## Properties
Fermi-level density of states: 2.12 states/eV per cell
ΔH_f (0 K): 754 meV/atom
space group: P3m1 (156)
offset from the most stable computed form: 0.016 eV per atom